# 1
Crystalline BaMgCdHg2 at its relaxed geometry, computed with PBE-GGA.

abc: 4.678 4.678 7.435
angles: 108.34 108.34 90.00
Positions (direct):
Hg: 0.614 0.614 0.228
Hg: 0.386 0.386 0.772
Cd: 0.250 0.750 0.500
Mg: 0.750 0.250 0.500
Ba: 0.000 0.000 0.000

The calculation puts the volume at 145.7 Å³/cell. The calculation puts the energy relative to the lowest polymorph listed for this composition at 0.0 meV per atom. The space group is I-4m2. The formation energy comes out at -0.3606 eV/atom.

=====

# 2
Crystalline LiLaTaNi2 at its relaxed geometry, computed with PBE-GGA.

abc: 4.318 4.590 4.318
angles: 90.00 90.00 90.00
Positions (direct):
Ni: 0.000 0.000 0.500
Ni: 0.500 0.000 0.000
La: 0.500 0.500 0.500
Ta: 0.000 0.500 0.000
Li: 0.000 0.000 0.000

The calculation puts the volume at 85.6 Å³/cell. The space group is P4/mmm. The formation energy comes out at 0.6596 eV/atom.

=====

# 3
Crystalline LaY7Tm3 at its relaxed geometry, computed with PBE-GGA.

abc: 8.883 9.911 5.577
angles: 90.01 128.89 104.19
Positions (direct):
Y: 0.173 0.359 0.673
Y: 0.500 0.000 0.500
Y: 0.647 0.288 0.148
Y: 0.069 0.167 0.068
Y: 0.827 0.641 0.327
Y: 0.353 0.712 0.852
Y: 0.931 0.833 0.932
Tm: 0.226 0.007 0.726
Tm: 0.000 0.500 0.000
Tm: 0.774 0.993 0.274
La: 0.500 0.500 0.500

The calculation puts the volume at 362.7 Å³/cell. The calculation puts the energy relative to the lowest polymorph listed for this composition at 0.0 meV per atom. The space group is P2/m. The formation energy comes out at 0.1424 eV/atom.

=====

# 4
Crystalline NdNpTe2 at its relaxed geometry, computed with PBE-GGA.

abc: 4.432 4.432 7.730
angles: 73.34 73.34 60.00
Last column: magnetic moment on the atom in μB.
Positions (direct):
Np: 0.500 0.500 0.500  4.24
Te: 0.753 0.753 0.742  -0.04
Te: 0.247 0.247 0.258  -0.04
Nd: 0.000 0.000 0.000  0.03

The calculation puts the volume at 124.1 Å³/cell. The calculation puts the energy relative to the lowest polymorph listed for this composition at 0.0 meV per atom. The space group is R-3m. The calculation puts the formation energy without anion corrections at -96.8 kJ/mol of atoms.

=====

# 5
Crystalline TmMgAl2 at its relaxed geometry, computed with PBE-GGA.

abc: 4.907 4.907 4.907
angles: 60.00 60.00 60.00
Positions (direct):
Tm: 0.500 0.500 0.500
Mg: 0.000 0.000 0.000
Al: 0.250 0.250 0.250
Al: 0.750 0.750 0.750

The calculation puts the volume at 83.5 Å³/cell. The calculation puts the energy relative to the lowest polymorph listed for this composition at 140.6 meV per atom. The space group is Fm-3m. The formation energy comes out at -0.1719 eV/atom.

=====

# 6
Crystalline B2C at its relaxed geometry, computed with PBE-GGA.

abc: 2.611 2.671 12.637
angles: 90.00 90.00 90.00
Positions (direct):
B: 0.250 0.500 0.394
B: 0.750 0.000 0.847
B: 0.250 0.000 0.153
B: 0.750 0.500 0.606
B: 0.750 0.500 0.281
B: 0.250 0.500 0.047
B: 0.250 0.500 0.719
B: 0.750 0.500 0.953
C: 0.250 0.000 0.466
C: 0.250 0.000 0.782
C: 0.750 0.000 0.218
C: 0.750 0.000 0.534

The calculation puts the volume at 88.1 Å³/cell. The calculation puts the energy relative to the lowest polymorph listed for this composition at 281.1 meV per atom. The space group is Pmma. The formation energy comes out at 0.4664 eV/atom.

=====

Results for E_tot: -1.3678, -5.3917, -5.6385, -7.0010, -3.5597, -7.0599 (in eV/atom, following the order of the records).